No. 1
# ScAlIn

An optimized crystal structure of ScAlIn (GGA-PBEsol, Alexandria via LeMat-Bulk).

Cell lengths 4.6308, 4.6308, 3.2007 Å; angles 90.00, 90.00, 120.00 degrees
Last column: nearest neighbours and their distance in Å.
Fractional coordinates of all 3 atoms:
Sc 0.0000 0.0000 0.0000  6 In 3.12, 6 Al 3.12, 2 Sc 3.20
Al 0.6667 0.3333 0.5000  3 In 2.67
In 0.3333 0.6667 0.5000  3 Al 2.67

Calculated values
magnetic moment = 0.000 μB per cell
ΔE_f = -113 kJ/mol of formula units

=====

No. 2
# AlPAu4

An optimized crystal structure of AlPAu4 (GGA-PBEsol, Alexandria via LeMat-Bulk).

Cell lengths 5.3720, 5.3720, 5.3720 Å; angles 60.00, 60.00, 60.00 degrees
Last column: nearest neighbours and their distance in Å.
Fractional coordinates of all 6 atoms:
Al 0.0000 0.0000 0.0000  12 Au 3.15, 4 P 3.29
P 0.7500 0.7500 0.7500  12 Au 3.15, 4 Al 3.29
Au 0.3750 0.3750 0.3750  6 Au 2.69
Au 0.3750 0.3750 0.8751  6 Au 2.69
Au 0.3750 0.8751 0.3750  6 Au 2.69
Au 0.8751 0.3750 0.3750  6 Au 2.69

Calculated values
magnetic moment = 0.000 μB per cell
ΔE_f = 176 kJ/mol of formula units

=====

No. 3
# TiAlRu2Rh

An optimized crystal structure of TiAlRu2Rh (GGA-PBEsol, Alexandria via LeMat-Bulk).

Cell lengths 4.2649, 4.2649, 4.4932 Å; angles 90.00, 90.00, 90.00 degrees
Last column: nearest neighbours and their distance in Å.
Fractional coordinates of all 5 atoms:
Ti 0.0000 0.0000 0.0000  2 Al 2.25
Al 0.0000 0.0000 0.5000  4 Ru 2.13, 2 Ti 2.25
Ru 0.0000 0.5000 0.5000  2 Al 2.13
Ru 0.5000 0.0000 0.5000  2 Al 2.13
Rh 0.5000 0.5000 0.0000  4 Ti 3.02, 8 Ru 3.10

Calculated values
magnetic moment = 0.000 μB per cell
ΔE_f = 543 kJ/mol of formula units